A geometry-optimized PmCdSi2Pt2 structure. Source: Alexandria via LeMat-Bulk, functional PBE.

Properties
VASP energy, eV per formula unit: -33.09
Symmetry: No. 164
Spin magnetization, μB/f.u.: 0.00
Formation energy (no corrections), meV per atom: -749.1

a = 4.1463 Å, b = 4.1463 Å, c = 7.7586 Å
α = 90.00°, β = 90.00°, γ = 120.00°
Closest atoms and distances in Å follow each position.
Fractional positions:
Pm (0.0000, 0.0000, 0.0000)  6 Si 3.09, 6 Pt 3.29
Cd (0.0000, 0.0000, 0.5000)  6 Pt 2.89, 6 Si 3.07
Si (0.6667, 0.3333, 0.2526)  3 Pt 2.41
Si (0.3333, 0.6667, 0.7474)  3 Pt 2.41
Pt (0.6667, 0.3333, 0.7091)  3 Si 2.41
Pt (0.3333, 0.6667, 0.2909)  3 Si 2.41